The following is a DFT calculation (PBE-GGA) of an optimized crystal structure of NbGeAs2.

CIF file:
```
data_NbGeAs2
_symmetry_space_group_name_H-M 'P 1'
_symmetry_Int_Tables_number 1
_symmetry_space_group_name_Hall 'P 1'
_cell_length_a 5.3086
_cell_length_b 5.4021
_cell_length_c 5.4778
_cell_angle_alpha 105.33
_cell_angle_beta 96.43
_cell_angle_gamma 98.46
loop_
_atom_site_label
_atom_site_type_symbol
_atom_site_fract_x
_atom_site_fract_y
_atom_site_fract_z
Nb1 Nb 0.0000 0.0000 0.0000
Nb2 Nb 0.3487 0.2729 0.7158
Ge1 Ge 0.8812 0.3811 0.3645
Ge2 Ge 0.9271 0.8712 0.4656
As1 As 0.3950 0.3991 0.2430
As2 As 0.4204 0.8883 0.3306
As3 As 0.4730 0.8400 0.8567
As4 As 0.8909 0.4381 0.8398
```

Calculated values
Energy relative to the elements ... -0.10 eV/atom
E_tot ... -0.2239 Ha/atom

---

The following is a DFT calculation (PBE-GGA) of an optimized crystal structure of Mn2FeCoPt.

CIF file:
```
data_Mn2FeCoPt
_symmetry_space_group_name_H-M 'P 4/m m m'
_symmetry_Int_Tables_number 123
_symmetry_space_group_name_Hall '-P 4 2'
_cell_length_a 4.3898
_cell_length_b 4.3898
_cell_length_c 4.5554
_cell_angle_alpha 90.00
_cell_angle_beta 90.00
_cell_angle_gamma 90.00
loop_
_atom_site_label
_atom_site_type_symbol
_atom_site_fract_x
_atom_site_fract_y
_atom_site_fract_z
Mn1 Mn 0.0000 0.5000 0.0000
Fe1 Fe 0.0000 0.0000 0.5000
Co1 Co 0.5000 0.5000 0.0000
Pt1 Pt 0.5000 0.5000 0.5000
```

Calculated values
Energy relative to the elements ... 1.01 eV/atom
E_tot ... -0.2566 Ha/atom